Compound: Na5AgGe2Se7
Source: the Alexandria database
Functional: SCAN
Structure: PBEsol geometry

Summary:
As for the crystal system: monoclinic. The calculation puts the total energy at -975.66 eV/cell. Its formation energy from raw total energies is -850 meV/atom.

```
data_Na5AgGe2Se7
_chemical_formula_sum 'Na20 Ag4 Ge8 Se28'
_symmetry_space_group_name_H-M 'C 1 2/c 1'
_symmetry_Int_Tables_number 15
_cell_length_a 9.534
_cell_length_b 10.579
_cell_length_c 15.342
_cell_angle_alpha 90.00
_cell_angle_beta 102.99
_cell_angle_gamma 90.00
loop_
_symmetry_equiv_pos_as_xyz
'x,y,z'
'-x,-y,-z'
'-x,y,-z+1/2'
'x,-y,z+1/2'
'x+1/2,y+1/2,z'
'-x+1/2,-y+1/2,-z'
'-x+1/2,y+1/2,-z+1/2'
'x+1/2,-y+1/2,z+1/2'
loop_
_atom_site_label
_atom_site_type_symbol
_atom_site_fract_x
_atom_site_fract_y
_atom_site_fract_z
_atom_site_occupancy
Na1 Na 0.000 0.000 0.000 1
Na2 Na 0.118 0.357 0.082 1
Na3 Na 0.245 0.271 0.647 1
Ag1 Ag 0.000 0.090 0.750 1
Ge1 Ge 0.163 0.425 0.861 1
Se1 Se 0.000 0.452 0.250 1
Se2 Se 0.070 0.229 0.894 1
Se3 Se 0.121 0.109 0.185 1
Se4 Se 0.196 0.424 0.476 1
```